Record 1
This record from OQMD describes NaTl2PdF6 after structural relaxation. The functional is PBE.

The calculated volume is 15.00 Å³/atom. The total energy comes out at -40.2 eV/cell.

Structure (POSCAR):
```
NaTl2PdF6
1.0
-2.9202 2.9202 4.3979
2.9202 -2.9202 4.3979
2.9202 2.9202 -4.3979
Na Tl Pd F
1 2 1 6
direct
0.0000 0.0000 0.0000 Na
0.2500 0.7500 0.5000 Tl
0.7500 0.2500 0.5000 Tl
0.5000 0.5000 0.0000 Pd
0.2265 0.7002 0.9266 F
0.2526 0.2526 0.0000 F
0.2998 0.2265 0.5263 F
0.7002 0.7735 0.4737 F
0.7474 0.7474 0.0000 F
0.7735 0.2998 0.0734 F
```

---

Record 2
This record from OQMD describes KNdTe3As after structural relaxation. The functional is PBE.

The calculated volume is 36.05 Å³/atom. The total energy comes out at -48.7 eV/cell. Its spin magnetization is 0.53 Bohr magnetons per cell.

Structure (POSCAR):
```
KNdTe3As
1.0
2.3053 -8.5131 0.0000
2.3053 8.5131 0.0000
0.0000 0.0000 11.0221
K Nd Te As
2 2 6 2
direct
0.2358 0.7642 0.7500 K
0.7642 0.2358 0.2500 K
0.0000 0.0000 0.0000 Nd
0.0000 0.0000 0.5000 Nd
0.1026 0.8974 0.2500 Te
0.3713 0.6287 0.0497 Te
0.3713 0.6287 0.4503 Te
0.6287 0.3713 0.5497 Te
0.6287 0.3713 0.9503 Te
0.8974 0.1026 0.7500 Te
0.4641 0.5359 0.2500 As
0.5359 0.4641 0.7500 As
```

---

Record 3
This record from OQMD describes Pr5GaTe4 after structural relaxation. The functional is PBE.

The calculated volume is 32.41 Å³/atom. The total energy comes out at -52.6 eV/cell. Its spin magnetization is 0.00 Bohr magnetons per cell.

Structure (POSCAR):
```
Pr5GaTe4
1.0
-5.0450 5.0450 3.1830
5.0450 -5.0450 3.1830
5.0450 5.0450 -3.1830
Pr Ga Te
5 1 4
direct
0.0000 0.0000 0.0000 Pr
0.2159 0.5959 0.8118 Pr
0.4041 0.2159 0.6200 Pr
0.5959 0.7841 0.3800 Pr
0.7841 0.4041 0.1882 Pr
0.5000 0.5000 0.0000 Ga
0.0946 0.3028 0.3975 Te
0.3028 0.9054 0.2082 Te
0.6972 0.0946 0.7918 Te
0.9054 0.6972 0.6025 Te
```

---

Record 4
This record from OQMD describes Tb after structural relaxation. The functional is PBE.

The calculated volume is 31.69 Å³/atom. The energy above the most stable polymorph in this dataset comes out at 14 meV/atom. Its spin magnetization is 0.03 Bohr magnetons per cell.

Structure (POSCAR):
```
Tb
1.0
0.0000 2.5118 2.5118
2.5118 0.0000 2.5118
2.5118 2.5118 0.0000
Tb
1
direct
0.0000 0.0000 0.0000 Tb
```

---

Record 5
This record from OQMD describes GdBiOs after structural relaxation. The functional is PBE.

The calculated volume is 27.11 Å³/atom. The total energy comes out at -17.6 eV/cell. Its spin magnetization is 0.01 Bohr magnetons per cell.

Structure (POSCAR):
```
GdBiOs
1.0
0.0000 3.4388 3.4388
3.4388 0.0000 3.4388
3.4388 3.4388 0.0000
Gd Bi Os
1 1 1
direct
0.0000 0.0000 0.0000 Gd
0.7500 0.7500 0.7500 Bi
0.2500 0.2500 0.2500 Os
```

---

Record 6
This record from OQMD describes AlTc2Hg after structural relaxation. The functional is PBE.

The calculated volume is 15.91 Å³/atom. The total energy comes out at -23.5 eV/cell. Its spin magnetization is 0.01 Bohr magnetons per cell.

Structure (POSCAR):
```
AlTc2Hg
1.0
0.0000 3.1691 3.1691
3.1691 0.0000 3.1691
3.1691 3.1691 0.0000
Al Tc Hg
1 2 1
direct
0.0000 0.0000 0.0000 Al
0.5000 0.5000 0.5000 Tc
0.7500 0.7500 0.7500 Tc
0.2500 0.2500 0.2500 Hg
```

---

Record 7
This record from OQMD describes AgTePO after structural relaxation. The functional is PBE.

The calculated volume is 16.43 Å³/atom. The energy above the most stable polymorph in this dataset comes out at 169 meV/atom.

Structure (POSCAR):
```
AgTePO
1.0
3.7934 0.0000 0.0000
0.0000 3.7934 0.0000
0.0000 0.0000 9.1330
Ag Te P O
2 2 2 2
direct
0.2500 0.7500 0.0000 Ag
0.7500 0.2500 0.0000 Ag
0.2500 0.2500 0.3543 Te
0.7500 0.7500 0.6457 Te
0.2500 0.2500 0.7864 P
0.7500 0.7500 0.2136 P
0.2500 0.7500 0.5000 O
0.7500 0.2500 0.5000 O
```

---

Record 8
This record from OQMD describes HoPd2 after structural relaxation. The functional is PBE.

The calculated volume is 21.77 Å³/atom. The total energy comes out at -16.2 eV/cell. Its spin magnetization is 0.00 Bohr magnetons per cell.

Structure (POSCAR):
```
HoPd2
1.0
0.0000 3.1962 3.1962
3.1962 0.0000 3.1962
3.1962 3.1962 0.0000
Ho Pd
1 2
direct
0.0000 0.0000 0.0000 Ho
0.2500 0.2500 0.2500 Pd
0.7500 0.7500 0.7500 Pd
```

---

- Among the records above, which one has the lowest calculated volume?
  NaTl2PdF6